1.
Material: K2OsAu
Method: DFT, GGA-PBEsol
State: optimized geometry

Lattice parameters (Å, degrees): 11.342 11.342 11.342 14.53 14.53 14.53
Positions (direct):
K  0.248  0.248  0.248
K  0.752  0.752  0.752
Os  0.500  0.500  0.500
Au  0.000  0.000  0.000

Calculated values
D(E_F)   2.800 states/eV per cell
Formation enthalpy at 0 K   893 meV/atom

2.
Material: Sc5In4Ni2
Method: DFT, GGA-PBEsol
State: optimized geometry

Lattice parameters (Å, degrees): 7.495 17.005 3.316 90.00 90.00 90.00
Positions (direct):
Sc  0.000  0.000  0.000
Sc  0.124  0.413  0.000
Sc  0.247  0.721  0.000
Sc  0.253  0.221  0.000
Sc  0.376  0.913  0.000
Sc  0.500  0.500  0.000
Sc  0.624  0.087  0.000
Sc  0.747  0.779  0.000
Sc  0.753  0.279  0.000
Sc  0.876  0.587  0.000
In  0.071  0.848  0.500
In  0.201  0.568  0.500
In  0.299  0.068  0.500
In  0.429  0.348  0.500
In  0.571  0.652  0.500
In  0.701  0.932  0.500
In  0.799  0.432  0.500
In  0.929  0.152  0.500
Ni  0.039  0.305  0.500
Ni  0.461  0.805  0.500
Ni  0.539  0.195  0.500
Ni  0.961  0.695  0.500

Calculated values
D(E_F)   13.525 states/eV per cell
Formation enthalpy at 0 K   -577 meV/atom